--- 1 ---
# Ti2In2Ga (GGA-PBE, optimized geometry)
# mass density	6.57	g cm⁻³
# density of states at the Fermi level	3.60	states/eV/f.u.
# volume	100	Å³/f.u.
data_Ti2In2Ga
_symmetry_space_group_name_H-M 'P 4/m b m'
_symmetry_Int_Tables_number 127
_symmetry_space_group_name_Hall '-P 4 2ab'
_cell_length_a 7.0378
_cell_length_b 7.0378
_cell_length_c 4.0330
_cell_angle_alpha 90.00
_cell_angle_beta 90.00
_cell_angle_gamma 90.00
loop_
_atom_site_label
_atom_site_type_symbol
_atom_site_fract_x
_atom_site_fract_y
_atom_site_fract_z
Ti1 Ti 0.1679 0.3321 0.0000
In1 In 0.1379 0.6379 0.5000
Ga1 Ga 0.0000 0.0000 0.5000

***

--- 2 ---
# Ti2In2Ga (GGA-PBE, optimized geometry)
# mass density	6.50	g cm⁻³
# density of states at the Fermi level	1.82	states/eV/f.u.
# volume	101	Å³/f.u.
data_Ti2In2Ga
_symmetry_space_group_name_H-M 'P 4/m b m'
_symmetry_Int_Tables_number 127
_symmetry_space_group_name_Hall '-P 4 2ab'
_cell_length_a 6.7734
_cell_length_b 6.7734
_cell_length_c 4.3996
_cell_angle_alpha 90.00
_cell_angle_beta 90.00
_cell_angle_gamma 90.00
loop_
_atom_site_label
_atom_site_type_symbol
_atom_site_fract_x
_atom_site_fract_y
_atom_site_fract_z
Ti1 Ti 0.1460 0.3540 0.0000
In1 In 0.1604 0.6604 0.5000
Ga1 Ga 0.0000 0.0000 0.0000

***

Energies relative to the most stable structure, in meV/atom: 1 237; 2 0.

***

--- 1 ---
# Tl2InGa (GGA-PBE, optimized geometry)
# mass density	7.85	g cm⁻³
# density of states at the Fermi level	1.97	states/eV/f.u.
# volume	126	Å³/f.u.
data_Tl2InGa
_symmetry_space_group_name_H-M 'C 1 2/c 1'
_symmetry_Int_Tables_number 15
_cell_length_a 6.2868
_cell_length_b 25.3156
_cell_length_c 3.1961
_cell_angle_alpha 90.00
_cell_angle_beta 99.08
_cell_angle_gamma 90.00
loop_
_symmetry_equiv_pos_as_xyz
'x,y,z'
'-x,-y,-z'
'-x,y,-z+1/2'
'x,-y,z+1/2'
'x+1/2,y+1/2,z'
'-x+1/2,-y+1/2,-z'
'-x+1/2,y+1/2,-z+1/2'
'x+1/2,-y+1/2,z+1/2'
loop_
_atom_site_label
_atom_site_type_symbol
_atom_site_fract_x
_atom_site_fract_y
_atom_site_fract_z
Tl1 Tl 0.2446 0.0598 0.4554
In1 In 0.0000 0.3355 0.2500
Ga1 Ga 0.2500 0.2500 0.0000

***

--- 2 ---
# Tl2InGa (GGA-PBE, optimized geometry)
# mass density	8.64	g cm⁻³
# density of states at the Fermi level	2.28	states/eV/f.u.
# volume	114	Å³/f.u.
data_Tl2InGa
_symmetry_space_group_name_H-M 'I -4 2 d'
_symmetry_Int_Tables_number 122
_symmetry_space_group_name_Hall 'I -4 2bw'
_cell_length_a 8.3727
_cell_length_b 8.3727
_cell_length_c 6.5035
_cell_angle_alpha 90.00
_cell_angle_beta 90.00
_cell_angle_gamma 90.00
loop_
_atom_site_label
_atom_site_type_symbol
_atom_site_fract_x
_atom_site_fract_y
_atom_site_fract_z
Tl1 Tl 0.2241 0.2500 0.1250
In1 In 0.0000 0.0000 0.5000
Ga1 Ga 0.0000 0.0000 0.0000

***

Energies relative to the most stable structure, in meV/atom: 1 35; 2 0.

***

--- 1 ---
# Tl2InGa (GGA-PBE, optimized geometry)
# mass density	9.11	g cm⁻³
# density of states at the Fermi level	1.22	states/eV/f.u.
# volume	108	Å³/f.u.
data_Tl2InGa
_symmetry_space_group_name_H-M 'P 4/m m m'
_symmetry_Int_Tables_number 123
_symmetry_space_group_name_Hall '-P 4 2'
_cell_length_a 3.4590
_cell_length_b 3.4590
_cell_length_c 9.0392
_cell_angle_alpha 90.00
_cell_angle_beta 90.00
_cell_angle_gamma 90.00
loop_
_atom_site_label
_atom_site_type_symbol
_atom_site_fract_x
_atom_site_fract_y
_atom_site_fract_z
Tl1 Tl 0.0000 0.0000 0.2306
In1 In 0.5000 0.5000 0.5000
Ga1 Ga 0.5000 0.5000 0.0000

***

--- 2 ---
# Tl2InGa (GGA-PBE, optimized geometry)
# mass density	9.01	g cm⁻³
# density of states at the Fermi level	1.31	states/eV/f.u.
# volume	109	Å³/f.u.
data_Tl2InGa
_symmetry_space_group_name_H-M 'F m -3 m'
_symmetry_Int_Tables_number 225
_symmetry_space_group_name_Hall '-F 4 2 3'
_cell_length_a 7.5898
_cell_length_b 7.5898
_cell_length_c 7.5898
_cell_angle_alpha 90.00
_cell_angle_beta 90.00
_cell_angle_gamma 90.00
loop_
_atom_site_label
_atom_site_type_symbol
_atom_site_fract_x
_atom_site_fract_y
_atom_site_fract_z
Tl1 Tl 0.2500 0.2500 0.2500
In1 In 0.0000 0.0000 0.0000
Ga1 Ga 0.0000 0.0000 0.5000

***

--- 3 ---
# Tl2InGa (GGA-PBE, optimized geometry)
# mass density	8.78	g cm⁻³
# density of states at the Fermi level	2.32	states/eV/f.u.
# volume	112	Å³/f.u.
data_Tl2InGa
_symmetry_space_group_name_H-M 'R -3 m'
_symmetry_Int_Tables_number 166
_symmetry_space_group_name_Hall '-R 3 2"'
_cell_length_a 3.3024
_cell_length_b 3.3024
_cell_length_c 35.6538
_cell_angle_alpha 90.00
_cell_angle_beta 90.00
_cell_angle_gamma 120.00
loop_
_atom_site_label
_atom_site_type_symbol
_atom_site_fract_x
_atom_site_fract_y
_atom_site_fract_z
Tl1 Tl 0.0000 0.0000 0.0831
In1 In 0.0000 0.0000 0.5000
Ga1 Ga 0.0000 0.0000 0.0000

***

--- 4 ---
# Tl2InGa (GGA-PBE, optimized geometry)
# mass density	9.04	g cm⁻³
# density of states at the Fermi level	1.60	states/eV/f.u.
# volume	109	Å³/f.u.
data_Tl2InGa
_symmetry_space_group_name_H-M 'P 4/m m m'
_symmetry_Int_Tables_number 123
_symmetry_space_group_name_Hall '-P 4 2'
_cell_length_a 5.4417
_cell_length_b 5.4417
_cell_length_c 3.6816
_cell_angle_alpha 90.00
_cell_angle_beta 90.00
_cell_angle_gamma 90.00
loop_
_atom_site_label
_atom_site_type_symbol
_atom_site_fract_x
_atom_site_fract_y
_atom_site_fract_z
Tl1 Tl 0.0000 0.5000 0.0000
In1 In 0.0000 0.0000 0.5000
Ga1 Ga 0.5000 0.5000 0.5000

***

Energies relative to the most stable structure, in meV/atom: 1 0; 2 32; 3 59; 4 6.

***

--- 1 ---
# Tl2In2Ga (GGA-PBE, optimized geometry)
# mass density	7.79	g cm⁻³
# density of states at the Fermi level	2.38	states/eV/f.u.
# volume	151	Å³/f.u.
data_Tl2In2Ga
_symmetry_space_group_name_H-M 'I 4/m m m'
_symmetry_Int_Tables_number 139
_symmetry_space_group_name_Hall '-I 4 2'
_cell_length_a 4.1425
_cell_length_b 4.1425
_cell_length_c 17.5865
_cell_angle_alpha 90.00
_cell_angle_beta 90.00
_cell_angle_gamma 90.00
loop_
_atom_site_label
_atom_site_type_symbol
_atom_site_fract_x
_atom_site_fract_y
_atom_site_fract_z
Tl1 Tl 0.0000 0.0000 0.0947
In1 In 0.0000 0.5000 0.2500
Ga1 Ga 0.0000 0.0000 0.5000

***

--- 2 ---
# Tl2In2Ga (GGA-PBE, optimized geometry)
# mass density	8.62	g cm⁻³
# density of states at the Fermi level	2.23	states/eV/f.u.
# volume	136	Å³/f.u.
data_Tl2In2Ga
_symmetry_space_group_name_H-M 'R -3 m'
_symmetry_Int_Tables_number 166
_symmetry_space_group_name_Hall '-R 3 2"'
_cell_length_a 3.4136
_cell_length_b 3.4136
_cell_length_c 40.5592
_cell_angle_alpha 90.00
_cell_angle_beta 90.00
_cell_angle_gamma 120.00
loop_
_atom_site_label
_atom_site_type_symbol
_atom_site_fract_x
_atom_site_fract_y
_atom_site_fract_z
Tl1 Tl 0.0000 0.0000 0.1279
In1 In 0.0000 0.0000 0.3919
Ga1 Ga 0.0000 0.0000 0.0000

***

--- 3 ---
# Tl2In2Ga (GGA-PBE, optimized geometry)
# mass density	8.07	g cm⁻³
# density of states at the Fermi level	2.53	states/eV/f.u.
# volume	146	Å³/f.u.
data_Tl2In2Ga
_symmetry_space_group_name_H-M 'P 4/m b m'
_symmetry_Int_Tables_number 127
_symmetry_space_group_name_Hall '-P 4 2ab'
_cell_length_a 8.2185
_cell_length_b 8.2185
_cell_length_c 4.3163
_cell_angle_alpha 90.00
_cell_angle_beta 90.00
_cell_angle_gamma 90.00
loop_
_atom_site_label
_atom_site_type_symbol
_atom_site_fract_x
_atom_site_fract_y
_atom_site_fract_z
Tl1 Tl 0.1546 0.3454 0.0000
In1 In 0.1482 0.6482 0.5000
Ga1 Ga 0.0000 0.0000 0.0000

***

Energies relative to the most stable structure, in meV/atom: 1 137; 2 0; 3 130.

***

--- 1 ---
# Tl2In2Ga (GGA-PBE, optimized geometry)
# mass density	8.23	g cm⁻³
# density of states at the Fermi level	2.41	states/eV/f.u.
# volume	143	Å³/f.u.
data_Tl2In2Ga
_symmetry_space_group_name_H-M 'P 4/m b m'
_symmetry_Int_Tables_number 127
_symmetry_space_group_name_Hall '-P 4 2ab'
_cell_length_a 7.4816
_cell_length_b 7.4816
_cell_length_c 5.1074
_cell_angle_alpha 90.00
_cell_angle_beta 90.00
_cell_angle_gamma 90.00
loop_
_atom_site_label
_atom_site_type_symbol
_atom_site_fract_x
_atom_site_fract_y
_atom_site_fract_z
Tl1 Tl 0.1686 0.3314 0.0000
In1 In 0.1438 0.6438 0.5000
Ga1 Ga 0.0000 0.0000 0.5000

***

--- 2 ---
# Tl2In2Ga (GGA-PBE, optimized geometry)
# mass density	7.64	g cm⁻³
# density of states at the Fermi level	2.40	states/eV/f.u.
# volume	154	Å³/f.u.
data_Tl2In2Ga
_symmetry_space_group_name_H-M 'I 4/m m m'
_symmetry_Int_Tables_number 139
_symmetry_space_group_name_Hall '-I 4 2'
_cell_length_a 4.6889
_cell_length_b 4.6889
_cell_length_c 13.9923
_cell_angle_alpha 90.00
_cell_angle_beta 90.00
_cell_angle_gamma 90.00
loop_
_atom_site_label
_atom_site_type_symbol
_atom_site_fract_x
_atom_site_fract_y
_atom_site_fract_z
Tl1 Tl 0.0000 0.5000 0.2500
In1 In 0.0000 0.0000 0.1010
Ga1 Ga 0.0000 0.0000 0.5000

***

Energies relative to the most stable structure, in meV/atom: 1 0; 2 157.

***

--- 1 ---
# TlIn12Ga6 (GGA-PBE, optimized geometry)
# mass density	6.87	g cm⁻³
# density of states at the Fermi level	7.83	states/eV/f.u.
# volume	484	Å³/f.u.
data_TlIn12Ga6
_symmetry_space_group_name_H-M 'R -3'
_symmetry_Int_Tables_number 148
_symmetry_space_group_name_Hall '-R 3'
_cell_length_a 16.2503
_cell_length_b 16.2503
_cell_length_c 6.3429
_cell_angle_alpha 90.00
_cell_angle_beta 90.00
_cell_angle_gamma 120.00
loop_
_atom_site_label
_atom_site_type_symbol
_atom_site_fract_x
_atom_site_fract_y
_atom_site_fract_z
Tl1 Tl 0.0000 0.0000 0.0000
In1 In 0.0583 0.1676 0.6500
In2 In 0.0662 0.5572 0.7452
Ga1 Ga 0.0040 0.7270 0.6594

***

--- 2 ---
# TlIn12Ga6 (GGA-PBE, optimized geometry)
# mass density	6.63	g cm⁻³
# density of states at the Fermi level	10.47	states/eV/f.u.
# volume	501	Å³/f.u.
data_TlIn12Ga6
_symmetry_space_group_name_H-M 'R -3 m'
_symmetry_Int_Tables_number 166
_symmetry_space_group_name_Hall '-R 3 2"'
_cell_length_a 13.7659
_cell_length_b 13.7659
_cell_length_c 9.1539
_cell_angle_alpha 90.00
_cell_angle_beta 90.00
_cell_angle_gamma 120.00
loop_
_atom_site_label
_atom_site_type_symbol
_atom_site_fract_x
_atom_site_fract_y
_atom_site_fract_z
Tl1 Tl 0.0000 0.0000 0.0000
In1 In 0.0000 0.3888 0.5000
In2 In 0.0782 0.1564 0.3283
Ga1 Ga 0.0174 0.5087 0.2232

***

Energies relative to the most stable structure, in meV/atom: 1 0; 2 30.

***

--- 1 ---
# TlInGa3 (GGA-PBE, optimized geometry)
# mass density	7.15	g cm⁻³
# density of states at the Fermi level	1.99	states/eV/f.u.
# volume	123	Å³/f.u.
data_TlInGa3
_symmetry_space_group_name_H-M 'C m c m'
_symmetry_Int_Tables_number 63
_symmetry_space_group_name_Hall '-C 2c 2'
_cell_length_a 5.5366
_cell_length_b 17.1945
_cell_length_c 5.1586
_cell_angle_alpha 90.00
_cell_angle_beta 90.00
_cell_angle_gamma 90.00
loop_
_atom_site_label
_atom_site_type_symbol
_atom_site_fract_x
_atom_site_fract_y
_atom_site_fract_z
Tl1 Tl 0.0000 0.2058 0.2500
In1 In 0.0000 0.4326 0.7500
Ga1 Ga 0.0000 0.0000 0.0000
Ga2 Ga 0.2482 0.3708 0.2500

***

--- 2 ---
# TlInGa3 (GGA-PBE, optimized geometry)
# mass density	5.76	g cm⁻³
# density of states at the Fermi level	4.09	states/eV/f.u.
# volume	152	Å³/f.u.
data_TlInGa3
_symmetry_space_group_name_H-M 'P m -3 m'
_symmetry_Int_Tables_number 221
_symmetry_space_group_name_Hall '-P 4 2 3'
_cell_length_a 5.3399
_cell_length_b 5.3399
_cell_length_c 5.3399
_cell_angle_alpha 90.00
_cell_angle_beta 90.00
_cell_angle_gamma 90.00
loop_
_atom_site_label
_atom_site_type_symbol
_atom_site_fract_x
_atom_site_fract_y
_atom_site_fract_z
Tl1 Tl 0.0000 0.0000 0.0000
In1 In 0.5000 0.5000 0.5000
Ga1 Ga 0.0000 0.5000 0.5000

***

Energies relative to the most stable structure, in meV/atom: 1 0; 2 352.

***

--- 1 ---
# TlIn3Ga3 (GGA-PBE, optimized geometry)
# mass density	7.20	g cm⁻³
# density of states at the Fermi level	3.12	states/eV/f.u.
# volume	175	Å³/f.u.
data_TlIn3Ga3
_symmetry_space_group_name_H-M 'R -3'
_symmetry_Int_Tables_number 148
_symmetry_space_group_name_Hall '-R 3'
_cell_length_a 6.9975
_cell_length_b 6.9975
_cell_length_c 24.7322
_cell_angle_alpha 90.00
_cell_angle_beta 90.00
_cell_angle_gamma 120.00
loop_
_atom_site_label
_atom_site_type_symbol
_atom_site_fract_x
_atom_site_fract_y
_atom_site_fract_z
Tl1 Tl 0.0000 0.0000 0.1644
In1 In 0.0281 0.4342 0.3773
Ga1 Ga 0.0116 0.2308 0.5536

***

--- 2 ---
# TlIn3Ga3 (GGA-PBE, optimized geometry)
# mass density	5.52	g cm⁻³
# density of states at the Fermi level	4.31	states/eV/f.u.
# volume	228	Å³/f.u.
data_TlIn3Ga3
_symmetry_space_group_name_H-M 'P m -3 n'
_symmetry_Int_Tables_number 223
_symmetry_space_group_name_Hall '-P 4n 2 3'
_cell_length_a 7.6983
_cell_length_b 7.6983
_cell_length_c 7.6983
_cell_angle_alpha 90.00
_cell_angle_beta 90.00
_cell_angle_gamma 90.00
loop_
_atom_site_label
_atom_site_type_symbol
_atom_site_fract_x
_atom_site_fract_y
_atom_site_fract_z
Tl1 Tl 0.0000 0.0000 0.0000
In1 In 0.0000 0.2500 0.5000
Ga1 Ga 0.0000 0.5000 0.2500

***

Energies relative to the most stable structure, in meV/atom: 1 0; 2 214.